(1)
Material: Li2SiSn
Method: DFT, GGA-PBE
State: relaxed

Total DFT energy (no corrections): -3.328 eV/atom
E above lowest polymorph: 164.9 meV/atom

```
data_Li2SiSn
_cell_length_a 4.035
_cell_length_b 4.035
_cell_length_c 18.919
_cell_angle_alpha 90.00
_cell_angle_beta 90.00
_cell_angle_gamma 90.00
_symmetry_space_group_name_H-M 'I -4 2 d'
_symmetry_Int_Tables_number 122
_symmetry_space_group_name_Hall 'I -4 2bw'
loop_
_atom_site_label
_atom_site_type_symbol
_atom_site_fract_x
_atom_site_fract_y
_atom_site_fract_z
Li1 Li 0.227 0.250 0.125
Si1 Si 0.000 0.000 0.000
Sn1 Sn 0.000 0.000 0.500
```

(2)
Material: CaRe2Ni
Method: DFT, GGA-PBE
State: relaxed

DFT formation energy: 54.9 kJ/mol of atoms
Total DFT energy (no corrections): -7.601 eV/atom
E above lowest polymorph: 302.0 meV/atom

```
data_CaRe2Ni
_cell_length_a 5.296
_cell_length_b 9.769
_cell_length_c 2.651
_cell_angle_alpha 90.00
_cell_angle_beta 110.11
_cell_angle_gamma 90.00
_symmetry_space_group_name_H-M 'C 1 2/m 1'
_symmetry_Int_Tables_number 12
_symmetry_space_group_name_Hall '-C 2y'
loop_
_atom_site_label
_atom_site_type_symbol
_atom_site_fract_x
_atom_site_fract_y
_atom_site_fract_z
Ca1 Ca 0.000 0.000 0.000
Re1 Re 0.250 0.250 0.500
Ni1 Ni 0.000 0.500 0.000
```

(3)
Material: LaInAg2
Method: DFT, GGA-PBE
State: relaxed

DFT formation energy: -15.3 kJ/mol of atoms
Total DFT energy (no corrections): -3.501 eV/atom

```
data_LaInAg2
_cell_length_a 3.788
_cell_length_b 3.788
_cell_length_c 6.919
_cell_angle_alpha 90.00
_cell_angle_beta 90.00
_cell_angle_gamma 90.00
_symmetry_space_group_name_H-M 'P 4/m m m'
_symmetry_Int_Tables_number 123
_symmetry_space_group_name_Hall '-P 4 2'
loop_
_atom_site_label
_atom_site_type_symbol
_atom_site_fract_x
_atom_site_fract_y
_atom_site_fract_z
La1 La 0.000 0.000 0.000
In1 In 0.000 0.000 0.500
Ag1 Ag 0.500 0.500 0.275
```

(4)
Material: AgBi4Pd2
Method: DFT, GGA-PBE
State: relaxed

DFT formation energy: -11.0 kJ/mol of atoms
Total DFT energy (no corrections): -4.223 eV/atom

```
data_AgBi4Pd2
_cell_length_a 7.140
_cell_length_b 7.274
_cell_length_c 8.197
_cell_angle_alpha 107.45
_cell_angle_beta 105.35
_cell_angle_gamma 104.82
_symmetry_space_group_name_H-M 'P 1'
_symmetry_Int_Tables_number 1
_symmetry_space_group_name_Hall 'P 1'
loop_
_atom_site_label
_atom_site_type_symbol
_atom_site_fract_x
_atom_site_fract_y
_atom_site_fract_z
Ag1 Ag 0.000 0.000 0.000
Ag2 Ag 0.350 0.532 0.915
Bi1 Bi 0.332 0.180 0.614
Bi2 Bi 0.349 0.896 0.193
Bi3 Bi 0.416 0.446 0.271
Bi4 Bi 0.513 0.872 0.795
Bi5 Bi 0.837 0.743 0.208
Bi6 Bi 0.899 0.279 0.800
Bi7 Bi 0.922 0.307 0.283
Bi8 Bi 0.940 0.695 0.641
Pd1 Pd 0.211 0.733 0.438
Pd2 Pd 0.617 0.311 0.988
Pd3 Pd 0.649 0.272 0.476
Pd4 Pd 0.665 0.875 0.492
```

(5)
Material: Rb2Sm2SnS6
Method: DFT, GGA-PBE
State: relaxed

Total DFT energy (no corrections): -5.065 eV/atom

```
data_Rb2Sm2SnS6
_cell_length_a 7.009
_cell_length_b 12.029
_cell_length_c 8.264
_cell_angle_alpha 90.00
_cell_angle_beta 106.72
_cell_angle_gamma 90.00
_symmetry_space_group_name_H-M 'C 1 2/m 1'
_symmetry_Int_Tables_number 12
_symmetry_space_group_name_Hall '-C 2y'
loop_
_atom_site_label
_atom_site_type_symbol
_atom_site_fract_x
_atom_site_fract_y
_atom_site_fract_z
Rb1 Rb 0.000 0.170 0.000
Sm1 Sm 0.000 0.333 0.500
Sn1 Sn 0.000 0.000 0.500
S1 S 0.221 0.157 0.688
S2 S 0.244 0.000 0.315
```

(6)
Material: NaY2Cd
Method: DFT, GGA-PBE
State: relaxed

DFT formation energy: 10.1 kJ/mol of atoms
Total DFT energy (no corrections): -3.686 eV/atom

```
data_NaY2Cd
_cell_length_a 3.5124
_cell_length_b 3.5124
_cell_length_c 36.1407
_cell_angle_alpha 90.00
_cell_angle_beta 90.00
_cell_angle_gamma 120.00
_symmetry_space_group_name_H-M 'R -3 m'
_symmetry_Int_Tables_number 166
_symmetry_space_group_name_Hall '-R 3 2"'
loop_
_atom_site_label
_atom_site_type_symbol
_atom_site_fract_x
_atom_site_fract_y
_atom_site_fract_z
Na1 Na 0.0000 0.0000 0.0000
Y1 Y 0.0000 0.0000 0.0975
Cd1 Cd 0.0000 0.0000 0.5000
```

(7)
Material: Ba2BF
Method: DFT, GGA-PBE
State: relaxed

Total DFT energy (no corrections): -3.747 eV/atom
E above lowest polymorph: 144.2 meV/atom

```
data_Ba2BF
_cell_length_a 7.367
_cell_length_b 7.367
_cell_length_c 7.367
_cell_angle_alpha 90.00
_cell_angle_beta 90.00
_cell_angle_gamma 90.00
_symmetry_space_group_name_H-M 'F m -3 m'
_symmetry_Int_Tables_number 225
_symmetry_space_group_name_Hall '-F 4 2 3'
loop_
_atom_site_label
_atom_site_type_symbol
_atom_site_fract_x
_atom_site_fract_y
_atom_site_fract_z
Ba1 Ba 0.250 0.250 0.250
B1 B 0.000 0.000 0.000
F1 F 0.000 0.000 0.500
```

(8)
Material: ZrMnSi2
Method: DFT, GGA-PBE
State: relaxed

Total DFT energy (no corrections): -7.314 eV/atom

```
data_ZrMnSi2
_cell_length_a 3.897
_cell_length_b 3.897
_cell_length_c 8.289
_cell_angle_alpha 90.00
_cell_angle_beta 90.00
_cell_angle_gamma 90.00
_symmetry_space_group_name_H-M 'I 4/m m m'
_symmetry_Int_Tables_number 139
_symmetry_space_group_name_Hall '-I 4 2'
loop_
_atom_site_label
_atom_site_type_symbol
_atom_site_fract_x
_atom_site_fract_y
_atom_site_fract_z
Zr1 Zr 0.000 0.000 0.000
Mn1 Mn 0.000 0.000 0.500
Si1 Si 0.000 0.500 0.250
```

(9)
Material: Ga3SbMo
Method: DFT, GGA-PBE
State: relaxed

Total DFT energy (no corrections): -4.234 eV/atom
E above lowest polymorph: 0.0 meV/atom

```
data_Ga3SbMo
_cell_length_a 4.948
_cell_length_b 4.948
_cell_length_c 4.948
_cell_angle_alpha 90.00
_cell_angle_beta 90.00
_cell_angle_gamma 90.00
_symmetry_space_group_name_H-M 'P m -3 m'
_symmetry_Int_Tables_number 221
_symmetry_space_group_name_Hall '-P 4 2 3'
loop_
_atom_site_label
_atom_site_type_symbol
_atom_site_fract_x
_atom_site_fract_y
_atom_site_fract_z
Ga1 Ga 0.000 0.000 0.500
Sb1 Sb 0.500 0.500 0.500
Mo1 Mo 0.000 0.000 0.000
```

(10)
Material: Y4NiS3
Method: DFT, GGA-PBE
State: relaxed

Total DFT energy (no corrections): -7.087 eV/atom

```
data_Y4NiS3
_cell_length_a 6.921
_cell_length_b 7.884
_cell_length_c 6.731
_cell_angle_alpha 90.00
_cell_angle_beta 109.31
_cell_angle_gamma 90.00
_symmetry_space_group_name_H-M 'P 1 2/c 1'
_symmetry_Int_Tables_number 13
_symmetry_space_group_name_Hall '-P 2yc'
loop_
_atom_site_label
_atom_site_type_symbol
_atom_site_fract_x
_atom_site_fract_y
_atom_site_fract_z
Y1 Y 0.242 0.135 0.494
Y2 Y 0.245 0.376 0.003
Ni1 Ni 0.000 0.382 0.250
S1 S 0.000 0.121 0.750
S2 S 0.500 0.116 0.250
S3 S 0.500 0.372 0.750
```

(11)
Material: Ce2PPt
Method: DFT, GGA-PBE
State: relaxed

DFT formation energy: -107.0 kJ/mol of atoms
Total DFT energy (no corrections): -6.939 eV/atom
E above lowest polymorph: 0.0 meV/atom

```
data_Ce2PPt
_cell_length_a 3.9658
_cell_length_b 3.9658
_cell_length_c 21.7936
_cell_angle_alpha 90.00
_cell_angle_beta 90.00
_cell_angle_gamma 120.00
_symmetry_space_group_name_H-M 'R 3 m'
_symmetry_Int_Tables_number 160
_symmetry_space_group_name_Hall 'R 3 -2"'
loop_
_atom_site_label
_atom_site_type_symbol
_atom_site_fract_x
_atom_site_fract_y
_atom_site_fract_z
Ce1 Ce 0.0000 0.0000 0.0000
Ce2 Ce 0.0000 0.0000 0.1743
P1 P 0.0000 0.0000 0.5871
Pt1 Pt 0.0000 0.0000 0.7549
```

(12)
Material: Er3Al7Ga2
Method: DFT, GGA-PBE
State: relaxed

DFT formation energy: -38.3 kJ/mol of atoms
Total DFT energy (no corrections): -4.225 eV/atom

```
data_Er3Al7Ga2
_cell_length_a 4.235
_cell_length_b 27.526
_cell_length_c 4.050
_cell_angle_alpha 90.00
_cell_angle_beta 90.00
_cell_angle_gamma 90.00
_symmetry_space_group_name_H-M 'C m m m'
_symmetry_Int_Tables_number 65
_symmetry_space_group_name_Hall '-C 2 2'
loop_
_atom_site_label
_atom_site_type_symbol
_atom_site_fract_x
_atom_site_fract_y
_atom_site_fract_z
Er1 Er 0.000 0.000 0.000
Er2 Er 0.000 0.177 0.000
Al1 Al 0.000 0.081 0.500
Al2 Al 0.000 0.272 0.500
Al3 Al 0.000 0.421 0.000
Al4 Al 0.000 0.500 0.500
Ga1 Ga 0.000 0.360 0.500
```

(13)
Material: PuUPdRh
Method: DFT, GGA-PBE
State: relaxed

DFT formation energy: -51.5 kJ/mol of atoms
Total DFT energy (no corrections): -10.075 eV/atom

```
data_PuUPdRh
_cell_length_a 6.589
_cell_length_b 6.589
_cell_length_c 6.589
_cell_angle_alpha 90.00
_cell_angle_beta 90.00
_cell_angle_gamma 90.00
_symmetry_space_group_name_H-M 'F -4 3 m'
_symmetry_Int_Tables_number 216
_symmetry_space_group_name_Hall 'F -4 2 3'
loop_
_atom_site_label
_atom_site_type_symbol
_atom_site_fract_x
_atom_site_fract_y
_atom_site_fract_z
Pu1 Pu 0.000 0.000 0.000
U1 U 0.250 0.250 0.250
Pd1 Pd 0.250 0.250 0.750
Rh1 Rh 0.000 0.000 0.500
```

(14)
Material: CsK2GaSb2
Method: DFT, GGA-PBE
State: relaxed

Total DFT energy (no corrections): -2.664 eV/atom

```
data_CsK2GaSb2
_cell_length_a 5.182
_cell_length_b 9.626
_cell_length_c 9.065
_cell_angle_alpha 90.00
_cell_angle_beta 90.00
_cell_angle_gamma 90.00
_symmetry_space_group_name_H-M 'P m c 21'
_symmetry_Int_Tables_number 26
_symmetry_space_group_name_Hall 'P 2c -2'
loop_
_atom_site_label
_atom_site_type_symbol
_atom_site_fract_x
_atom_site_fract_y
_atom_site_fract_z
Cs1 Cs 0.000 0.078 0.000
K1 K 0.000 0.333 0.315
K2 K 0.500 0.420 0.976
Ga1 Ga 0.500 0.159 0.629
Sb1 Sb 0.000 0.321 0.684
Sb2 Sb 0.500 0.105 0.301
```

(15)
Material: BMoPd3
Method: DFT, GGA-PBE
State: relaxed

DFT formation energy: 188.9 kJ/mol of atoms
Total DFT energy (no corrections): -4.659 eV/atom
E above lowest polymorph: 1645.2 meV/atom

```
data_BMoPd3
_cell_length_a 4.794
_cell_length_b 4.794
_cell_length_c 4.794
_cell_angle_alpha 90.00
_cell_angle_beta 90.00
_cell_angle_gamma 90.00
_symmetry_space_group_name_H-M 'P m -3 m'
_symmetry_Int_Tables_number 221
_symmetry_space_group_name_Hall '-P 4 2 3'
loop_
_atom_site_label
_atom_site_type_symbol
_atom_site_fract_x
_atom_site_fract_y
_atom_site_fract_z
B1 B 0.000 0.000 0.000
Mo1 Mo 0.500 0.500 0.500
Pd1 Pd 0.000 0.500 0.500
```

(16)
Material: BeHg2P
Method: DFT, GGA-PBE
State: relaxed

DFT formation energy: 2.3 kJ/mol of atoms
Total DFT energy (no corrections): -2.411 eV/atom
E above lowest polymorph: 0.0 meV/atom

```
data_BeHg2P
_cell_length_a 6.361
_cell_length_b 3.656
_cell_length_c 7.663
_cell_angle_alpha 90.00
_cell_angle_beta 100.83
_cell_angle_gamma 90.00
_symmetry_space_group_name_H-M 'C 1 m 1'
_symmetry_Int_Tables_number 8
_symmetry_space_group_name_Hall 'C -2y'
loop_
_atom_site_label
_atom_site_type_symbol
_atom_site_fract_x
_atom_site_fract_y
_atom_site_fract_z
Be1 Be 0.000 0.000 0.000
Hg1 Hg 0.273 0.500 0.683
Hg2 Hg 0.459 0.000 0.362
P1 P 0.336 0.000 0.017
```

(17)
Material: Sr2DyCuO5
Method: DFT, GGA-PBE
State: relaxed

Total DFT energy (no corrections): -6.378 eV/atom

```
data_Sr2DyCuO5
_cell_length_a 3.484
_cell_length_b 13.257
_cell_length_c 11.342
_cell_angle_alpha 90.00
_cell_angle_beta 90.00
_cell_angle_gamma 90.00
_symmetry_space_group_name_H-M 'C m c 21'
_symmetry_Int_Tables_number 36
_symmetry_space_group_name_Hall 'C 2c -2'
loop_
_atom_site_label
_atom_site_type_symbol
_atom_site_fract_x
_atom_site_fract_y
_atom_site_fract_z
Sr1 Sr 0.000 0.092 0.000
Sr2 Sr 0.000 0.147 0.625
Dy1 Dy 0.000 0.205 0.340
Cu1 Cu 0.000 0.480 0.759
O1 O 0.000 0.041 0.353
O2 O 0.000 0.275 0.970
O3 O 0.000 0.335 0.711
O4 O 0.000 0.376 0.300
O5 O 0.000 0.484 0.093
```

(18)
Material: SmMgCdIn
Method: DFT, GGA-PBE
State: relaxed

DFT formation energy: -32.3 kJ/mol of atoms
Total DFT energy (no corrections): -2.827 eV/atom

```
data_SmMgCdIn
_cell_length_a 7.358
_cell_length_b 7.358
_cell_length_c 7.358
_cell_angle_alpha 90.00
_cell_angle_beta 90.00
_cell_angle_gamma 90.00
_symmetry_space_group_name_H-M 'F -4 3 m'
_symmetry_Int_Tables_number 216
_symmetry_space_group_name_Hall 'F -4 2 3'
loop_
_atom_site_label
_atom_site_type_symbol
_atom_site_fract_x
_atom_site_fract_y
_atom_site_fract_z
Sm1 Sm 0.000 0.000 0.000
Mg1 Mg 0.000 0.000 0.500
Cd1 Cd 0.250 0.250 0.250
In1 In 0.250 0.250 0.750
```

(19)
Material: YSc3
Method: DFT, GGA-PBE
State: relaxed

DFT formation energy: 3.0 kJ/mol of atoms
Total DFT energy (no corrections): -6.334 eV/atom
E above lowest polymorph: 12.5 meV/atom

```
data_YSc3
_cell_length_a 3.4024
_cell_length_b 3.4024
_cell_length_c 10.5387
_cell_angle_alpha 90.00
_cell_angle_beta 90.00
_cell_angle_gamma 120.00
_symmetry_space_group_name_H-M 'P -6 m 2'
_symmetry_Int_Tables_number 187
_symmetry_space_group_name_Hall 'P -6 2'
loop_
_atom_site_label
_atom_site_type_symbol
_atom_site_fract_x
_atom_site_fract_y
_atom_site_fract_z
Y1 Y 0.0000 0.0000 0.0000
Sc1 Sc 0.0000 0.0000 0.5000
Sc2 Sc 0.6667 0.3333 0.2611
```

(20)
Material: Ac8Cu2Ir
Method: DFT, GGA-PBE
State: relaxed

DFT formation energy: -16.9 kJ/mol of atoms
Total DFT energy (no corrections): -4.713 eV/atom
E above lowest polymorph: 0.0 meV/atom

```
data_Ac8Cu2Ir
_cell_length_a 19.852
_cell_length_b 4.173
_cell_length_c 9.898
_cell_angle_alpha 90.00
_cell_angle_beta 93.31
_cell_angle_gamma 90.00
_symmetry_space_group_name_H-M 'C 1 2/m 1'
_symmetry_Int_Tables_number 12
_symmetry_space_group_name_Hall '-C 2y'
loop_
_atom_site_label
_atom_site_type_symbol
_atom_site_fract_x
_atom_site_fract_y
_atom_site_fract_z
Ac1 Ac 0.010 0.000 0.208
Ac2 Ac 0.096 0.500 0.527
Ac3 Ac 0.152 0.500 0.983
Ac4 Ac 0.227 0.000 0.327
Cu1 Cu 0.162 0.000 0.738
Ir1 Ir 0.000 0.500 0.000
```

(21)
Material: CdIn2Ni
Method: DFT, GGA-PBE
State: relaxed

DFT formation energy: 12.4 kJ/mol of atoms
Total DFT energy (no corrections): -2.915 eV/atom

```
data_CdIn2Ni
_cell_length_a 9.206
_cell_length_b 3.546
_cell_length_c 5.208
_cell_angle_alpha 90.00
_cell_angle_beta 105.03
_cell_angle_gamma 90.00
_symmetry_space_group_name_H-M 'C 1 2/m 1'
_symmetry_Int_Tables_number 12
_symmetry_space_group_name_Hall '-C 2y'
loop_
_atom_site_label
_atom_site_type_symbol
_atom_site_fract_x
_atom_site_fract_y
_atom_site_fract_z
Cd1 Cd 0.000 0.000 0.000
In1 In 0.227 0.000 0.713
Ni1 Ni 0.000 0.500 0.500
```

(22)
Material: Li3Er2Sn4
Method: DFT, GGA-PBE
State: relaxed

DFT formation energy: -45.6 kJ/mol of atoms
Total DFT energy (no corrections): -3.903 eV/atom

```
data_Li3Er2Sn4
_cell_length_a 6.234
_cell_length_b 15.876
_cell_length_c 7.985
_cell_angle_alpha 90.00
_cell_angle_beta 90.00
_cell_angle_gamma 90.00
_symmetry_space_group_name_H-M 'C m c e'
_symmetry_Int_Tables_number 64
_symmetry_space_group_name_Hall '-C 2ac 2'
loop_
_atom_site_label
_atom_site_type_symbol
_atom_site_fract_x
_atom_site_fract_y
_atom_site_fract_z
Li1 Li 0.000 0.000 0.000
Li2 Li 0.250 0.228 0.250
Er1 Er 0.000 0.107 0.598
Sn1 Sn 0.000 0.178 0.975
Sn2 Sn 0.250 0.054 0.250
```

(23)
Material: GeI2NO
Method: DFT, GGA-PBE
State: relaxed

Total DFT energy (no corrections): -3.099 eV/atom
E above lowest polymorph: 304.6 meV/atom

```
data_GeI2NO
_cell_length_a 4.788
_cell_length_b 4.788
_cell_length_c 4.120
_cell_angle_alpha 90.00
_cell_angle_beta 90.00
_cell_angle_gamma 90.00
_symmetry_space_group_name_H-M 'P 4/m m m'
_symmetry_Int_Tables_number 123
_symmetry_space_group_name_Hall '-P 4 2'
loop_
_atom_site_label
_atom_site_type_symbol
_atom_site_fract_x
_atom_site_fract_y
_atom_site_fract_z
Ge1 Ge 0.000 0.000 0.000
I1 I 0.000 0.500 0.500
N1 N 0.500 0.500 0.500
O1 O 0.500 0.500 0.000
```